Run 1
Entry from Alexandria: crystalline BAsWBr2 at its relaxed geometry (GGA-PBE).

a b c (Å): 5.1801 5.1801 4.8842
angles (deg): 90.00 90.00 90.00
With the nearest neighbours (Å) after each atom.
Space group P4/mmm (No. 123)
Unique sites:
B1 0.0000 0.0000 0.0000 [1 per cell]  8 Br 3.56, 4 As 3.66
As1 0.5000 0.5000 0.0000 [1 per cell]  2 W 2.44
W1 0.5000 0.5000 0.5000 [1 per cell]  2 As 2.44, 4 Br 2.59
Br1 0.0000 0.5000 0.5000 [2 per cell]  2 W 2.59

The calculation puts the magnetic moment at 0.25 μB/atom. As for the density: 5.44 g cm⁻³.


Run 2
Entry from Alexandria: crystalline BAsWBr2 at its relaxed geometry (GGA-PBE).

a b c (Å): 4.4763 4.4763 4.6878
angles (deg): 90.00 90.00 90.00
With the nearest neighbours (Å) after each atom.
Space group P4/mmm (No. 123)
Unique sites:
B1 0.0000 0.0000 0.0000 [1 per cell]  4 Br 2.24, 2 As 2.34
As1 0.0000 0.0000 0.5000 [1 per cell]  2 B 2.34
W1 0.5000 0.5000 0.5000 [1 per cell]  4 As 3.17, 8 Br 3.24
Br1 0.0000 0.5000 0.0000 [2 per cell]  2 B 2.24

The calculation puts the magnetic moment at 0.58 μB/atom. As for the density: 7.59 g cm⁻³.


Verdict on stability: run 2 comes out at the bottom.